(1)
This record from the Open Quantum Materials Database describes FeSiTcHg after structural relaxation. The functional is GGA-PBE.

```
data_FeSiTcHg
_space_group_name_H-M_alt 'F -4 3 m'
_space_group_IT_number 216
_space_group_name_Hall 'F -4 2 3'
_cell_length_a 6.246
_cell_length_b 6.246
_cell_length_c 6.246
_cell_angle_alpha 90.00
_cell_angle_beta 90.00
_cell_angle_gamma 90.00
loop_
_atom_site_label
_atom_site_fract_x
_atom_site_fract_y
_atom_site_fract_z
Fe1 0.000 0.000 0.000
Si1 0.250 0.250 0.750
Tc1 0.250 0.250 0.250
Hg1 0.000 0.000 0.500
```

(2)
This record from the Open Quantum Materials Database describes FeSiTcHg after structural relaxation. The functional is GGA-PBE.

```
data_FeSiTcHg
_space_group_name_H-M_alt 'F -4 3 m'
_space_group_IT_number 216
_space_group_name_Hall 'F -4 2 3'
_cell_length_a 6.183
_cell_length_b 6.183
_cell_length_c 6.183
_cell_angle_alpha 90.00
_cell_angle_beta 90.00
_cell_angle_gamma 90.00
loop_
_atom_site_label
_atom_site_fract_x
_atom_site_fract_y
_atom_site_fract_z
Fe1 0.000 0.000 0.000
Si1 0.250 0.250 0.750
Tc1 0.000 0.000 0.500
Hg1 0.250 0.250 0.250
```

Name the most stable of them. (2).

(1)
This record from the Open Quantum Materials Database describes ZnFeSiHg after structural relaxation. The functional is GGA-PBE.

```
data_ZnFeSiHg
_space_group_name_H-M_alt 'F -4 3 m'
_space_group_IT_number 216
_space_group_name_Hall 'F -4 2 3'
_cell_length_a 6.338
_cell_length_b 6.338
_cell_length_c 6.338
_cell_angle_alpha 90.00
_cell_angle_beta 90.00
_cell_angle_gamma 90.00
loop_
_atom_site_label
_atom_site_fract_x
_atom_site_fract_y
_atom_site_fract_z
Zn1 0.000 0.000 0.000
Fe1 0.000 0.000 0.500
Si1 0.250 0.250 0.250
Hg1 0.250 0.250 0.750
```

(2)
This record from the Open Quantum Materials Database describes ZnFeSiHg after structural relaxation. The functional is GGA-PBE.

```
data_ZnFeSiHg
_space_group_name_H-M_alt 'F -4 3 m'
_space_group_IT_number 216
_space_group_name_Hall 'F -4 2 3'
_cell_length_a 6.305
_cell_length_b 6.305
_cell_length_c 6.305
_cell_angle_alpha 90.00
_cell_angle_beta 90.00
_cell_angle_gamma 90.00
loop_
_atom_site_label
_atom_site_fract_x
_atom_site_fract_y
_atom_site_fract_z
Zn1 0.000 0.000 0.000
Fe1 0.250 0.250 0.750
Si1 0.000 0.000 0.500
Hg1 0.250 0.250 0.250
```

Name the most stable of them. (1).

(1)
This record from the Open Quantum Materials Database describes ZrFeSnHg after structural relaxation. The functional is GGA-PBE.

```
data_ZrFeSnHg
_space_group_name_H-M_alt 'F -4 3 m'
_space_group_IT_number 216
_space_group_name_Hall 'F -4 2 3'
_cell_length_a 6.692
_cell_length_b 6.692
_cell_length_c 6.692
_cell_angle_alpha 90.00
_cell_angle_beta 90.00
_cell_angle_gamma 90.00
loop_
_atom_site_label
_atom_site_fract_x
_atom_site_fract_y
_atom_site_fract_z
Zr1 0.000 0.000 0.000
Fe1 0.000 0.000 0.500
Sn1 0.250 0.250 0.250
Hg1 0.250 0.250 0.750
```

(2)
This record from the Open Quantum Materials Database describes ZrFeSnHg after structural relaxation. The functional is GGA-PBE.

```
data_ZrFeSnHg
_space_group_name_H-M_alt 'F -4 3 m'
_space_group_IT_number 216
_space_group_name_Hall 'F -4 2 3'
_cell_length_a 6.704
_cell_length_b 6.704
_cell_length_c 6.704
_cell_angle_alpha 90.00
_cell_angle_beta 90.00
_cell_angle_gamma 90.00
loop_
_atom_site_label
_atom_site_fract_x
_atom_site_fract_y
_atom_site_fract_z
Zr1 0.000 0.000 0.000
Fe1 0.250 0.250 0.750
Sn1 0.000 0.000 0.500
Hg1 0.250 0.250 0.250
```

Name the most stable of them. (1).

(1)
This record from the Open Quantum Materials Database describes SrFeHgTe3 after structural relaxation. The functional is GGA-PBE.

```
data_SrFeHgTe3
_space_group_name_H-M_alt 'C m c m'
_space_group_IT_number 63
_space_group_name_Hall '-C 2c 2'
_cell_length_a 4.300
_cell_length_b 14.482
_cell_length_c 11.526
_cell_angle_alpha 90.00
_cell_angle_beta 90.00
_cell_angle_gamma 90.00
loop_
_atom_site_label
_atom_site_fract_x
_atom_site_fract_y
_atom_site_fract_z
Sr1 0.000 0.221 0.250
Fe1 0.000 0.000 0.000
Hg1 0.000 0.473 0.750
Te1 0.000 0.101 0.750
Te2 0.000 0.371 0.543
```

(2)
This record from the Open Quantum Materials Database describes SrFeHgTe3 after structural relaxation. The functional is GGA-PBE.

```
data_SrFeHgTe3
_space_group_name_H-M_alt 'C m c m'
_space_group_IT_number 63
_space_group_name_Hall '-C 2c 2'
_cell_length_a 4.410
_cell_length_b 13.500
_cell_length_c 12.460
_cell_angle_alpha 90.00
_cell_angle_beta 90.00
_cell_angle_gamma 90.00
loop_
_atom_site_label
_atom_site_fract_x
_atom_site_fract_y
_atom_site_fract_z
Sr1 0.000 0.246 0.250
Fe1 0.000 0.054 0.750
Hg1 0.000 0.500 0.000
Te1 0.000 0.148 0.571
Te2 0.000 0.445 0.750
```

Name the most stable of them. (2).

(1)
This record from the Open Quantum Materials Database describes TaZnFeHg after structural relaxation. The functional is GGA-PBE.

```
data_TaZnFeHg
_space_group_name_H-M_alt 'F -4 3 m'
_space_group_IT_number 216
_space_group_name_Hall 'F -4 2 3'
_cell_length_a 6.385
_cell_length_b 6.385
_cell_length_c 6.385
_cell_angle_alpha 90.00
_cell_angle_beta 90.00
_cell_angle_gamma 90.00
loop_
_atom_site_label
_atom_site_fract_x
_atom_site_fract_y
_atom_site_fract_z
Ta1 0.000 0.000 0.000
Zn1 0.250 0.250 0.250
Fe1 0.000 0.000 0.500
Hg1 0.250 0.250 0.750
```

(2)
This record from the Open Quantum Materials Database describes TaZnFeHg after structural relaxation. The functional is GGA-PBE.

```
data_TaZnFeHg
_space_group_name_H-M_alt 'F -4 3 m'
_space_group_IT_number 216
_space_group_name_Hall 'F -4 2 3'
_cell_length_a 6.388
_cell_length_b 6.388
_cell_length_c 6.388
_cell_angle_alpha 90.00
_cell_angle_beta 90.00
_cell_angle_gamma 90.00
loop_
_atom_site_label
_atom_site_fract_x
_atom_site_fract_y
_atom_site_fract_z
Ta1 0.000 0.000 0.000
Zn1 0.000 0.000 0.500
Fe1 0.250 0.250 0.750
Hg1 0.250 0.250 0.250
```

Name the most stable of them. (2).

(1)
This record from the Open Quantum Materials Database describes ZnFeTcHg after structural relaxation. The functional is GGA-PBE.

```
data_ZnFeTcHg
_space_group_name_H-M_alt 'F -4 3 m'
_space_group_IT_number 216
_space_group_name_Hall 'F -4 2 3'
_cell_length_a 6.300
_cell_length_b 6.300
_cell_length_c 6.300
_cell_angle_alpha 90.00
_cell_angle_beta 90.00
_cell_angle_gamma 90.00
loop_
_atom_site_label
_atom_site_fract_x
_atom_site_fract_y
_atom_site_fract_z
Zn1 0.000 0.000 0.000
Fe1 0.250 0.250 0.250
Tc1 0.250 0.250 0.750
Hg1 0.000 0.000 0.500
```

(2)
This record from the Open Quantum Materials Database describes ZnFeTcHg after structural relaxation. The functional is GGA-PBE.

```
data_ZnFeTcHg
_space_group_name_H-M_alt 'F -4 3 m'
_space_group_IT_number 216
_space_group_name_Hall 'F -4 2 3'
_cell_length_a 6.293
_cell_length_b 6.293
_cell_length_c 6.293
_cell_angle_alpha 90.00
_cell_angle_beta 90.00
_cell_angle_gamma 90.00
loop_
_atom_site_label
_atom_site_fract_x
_atom_site_fract_y
_atom_site_fract_z
Zn1 0.000 0.000 0.000
Fe1 0.250 0.250 0.250
Tc1 0.000 0.000 0.500
Hg1 0.250 0.250 0.750
```

Name the most stable of them. (2).